Compound: Ca3TlPt
Source: the Alexandria database
Functional: SCAN
Structure: single point on PBEsol structure

Cell: 5.4506 5.4506 5.4506 Å, 90.00 90.00 90.00°
Closest atoms and distances in Å follow each position.
Space group Pm-3m (No. 221)
Inequivalent atoms, fractional coordinates:
Ca  0.0000  0.0000  0.5000  2 Pt 2.73
Tl  0.5000  0.5000  0.5000  12 Ca 3.85
Pt  0.0000  0.0000  0.0000  6 Ca 2.73

Computed properties:
- energy of formation from the pure elements (eV per formula unit) = -3.04
- Fermi-level density of states (states/eV per cell) = 3.6
- total DFT energy (no corrections) (eV per atom) = -34.9161

=====

Compound: Sc2ReRh
Source: the Alexandria database
Functional: SCAN
Structure: single point on PBEsol structure

Cell: 2.9169 2.9169 27.8670 Å, 90.00 90.00 120.00°
Closest atoms and distances in Å follow each position.
Space group R-3m (No. 166, hexagonal axes)
Inequivalent atoms, fractional coordinates:
Sc  0.0000  0.0000  0.0927  1 Re 2.58, 3 Rh 2.66
Re  0.0000  0.0000  0.0000  2 Sc 2.58
Rh  0.0000  0.0000  0.5000  6 Sc 2.66, 6 Rh 2.92

Computed properties:
- energy of formation from the pure elements (eV per formula unit) = 0.53
- Fermi-level density of states (states/eV per cell) = 9.0
- total DFT energy (no corrections) (eV per atom) = -33.2036

=====

Compound: LaPSe2
Source: the Alexandria database
Functional: SCAN
Structure: single point on PBEsol structure

Cell: 4.0113 3.6836 6.3090 Å, 90.00 107.01 90.00°
Closest atoms and distances in Å follow each position.
Space group P2/m (No. 10)
Inequivalent atoms, fractional coordinates:
La  0.0000  0.0000  0.0000  8 Se 3.12-3.18, 2 P 3.15
P  0.0000  0.0000  0.5000  4 Se 2.55
Se  0.3662  0.5000  0.7375  2 P 2.55

Computed properties:
- ΔE_f (raw) (eV per atom) = -1.02
- Fermi-level density of states (states/eV per cell) = 0.8
- total DFT energy (no corrections) (eV per atom) = -24.4313